Entry 1:
{
  "formula": "B3TeSe",
  "functional": "PBE",
  "state": "relaxed",
  "formation_energy_uncorrected_kj_per_mol_atoms": 177,
  "dos_at_fermi_per_ev_cell": 2.66,
  "spacegroup": "Pm-3m",
  "total_energy_ev_per_atom": -3.50,
  "cell": [[4.2315, 0.0000, 0.0000], [0.0000, 4.2315, 0.0000], [0.0000, 0.0000, 4.2315]],
  "species": ["B", "B", "B", "Te", "Se"],
  "frac_coords": [[0.0000, 0.5000, 0.0000], [0.0000, 0.0000, 0.5000], [0.5000, 0.0000, 0.0000], [0.5000, 0.5000, 0.5000], [0.0000, 0.0000, 0.0000]]
}



Entry 2:
{
  "formula": "CrBiPb2",
  "functional": "PBE",
  "state": "relaxed",
  "dos_at_fermi_per_ev_cell": 12.24,
  "spacegroup": "I-42d",
  "e_form_ev_per_atom": 0.88,
  "total_energy_ev_per_atom": -4.35,
  "cell": [[-3.6817, 1.1840, 2.1001], [-2.3922, -2.2706, -2.9136], [-2.2784, -9.6034, 6.0311]],
  "species": ["Pb", "Pb", "Pb", "Pb", "Cr", "Cr", "Bi", "Bi"],
  "frac_coords": [[0.6140, 0.1250, 0.2500], [0.1360, 0.6250, 0.2500], [0.3750, 0.3860, 0.7500], [0.8750, 0.8640, 0.7500], [0.5000, 0.5000, 0.0000], [0.2500, 0.7500, 0.5000], [0.0000, 0.0000, 0.0000], [0.7500, 0.2500, 0.5000]]
}



Entry 3:
{
  "formula": "SiPRu",
  "functional": "PBE",
  "state": "relaxed",
  "formation_energy_uncorrected_kj_per_mol_atoms": -2,
  "dos_at_fermi_per_ev_cell": 2.36,
  "spacegroup": "Imm2",
  "total_energy_ev_per_atom": -6.72,
  "cell": [[-2.5206, 1.7455, 3.2359], [-2.0459, -2.8478, 2.7524], [4.0745, 0.9112, -1.5619]],
  "species": ["P", "Ru", "Si"],
  "frac_coords": [[0.0023, 0.0023, 0.0000], [0.3273, 0.3273, 0.0000], [0.6704, 0.6704, 0.0000]]
}



Entry 4:
{
  "formula": "Sr2TaAl",
  "functional": "PBE",
  "state": "relaxed",
  "dos_at_fermi_per_ev_cell": 2.77,
  "spacegroup": "I-4m2",
  "e_form_ev_per_atom": 0.76,
  "total_energy_ev_per_atom": -3.98,
  "cell": [[5.7129, -0.0152, 0.0000], [1.4316, 5.5307, 0.0000], [-3.5723, -2.7577, 3.5031]],
  "species": ["Sr", "Sr", "Al", "Ta"],
  "frac_coords": [[0.0000, 0.0000, 0.0000], [0.2500, 0.7500, 0.5000], [0.7500, 0.2500, 0.5000], [0.5000, 0.5000, 0.0000]]
}



Entry 5:
{
  "formula": "AsPb2Br",
  "functional": "PBE",
  "state": "relaxed",
  "formation_energy_uncorrected_kj_per_mol_atoms": 13,
  "dos_at_fermi_per_ev_cell": 2.29,
  "spacegroup": "F-43m",
  "total_energy_ev_per_atom": -3.30,
  "cell": [[-1.7557, -0.9878, 4.9794], [3.3018, -2.1900, 3.6269], [1.8005, 2.9441, 4.1161]],
  "species": ["Pb", "Pb", "As", "Br"],
  "frac_coords": [[0.0000, 0.0000, 0.0000], [0.2500, 0.2500, 0.2500], [0.5000, 0.5000, 0.5000], [0.7500, 0.7500, 0.7500]]
}



Entry 6:
{
  "formula": "TlPd2Cl",
  "functional": "PBE",
  "state": "relaxed",
  "formation_energy_uncorrected_kj_per_mol_atoms": 0,
  "dos_at_fermi_per_ev_cell": 2.85,
  "spacegroup": "I-42d",
  "total_energy_ev_per_atom": -3.65,
  "cell": [[4.3885, 0.0000, 0.0000], [0.0000, 4.3885, 0.0000], [2.1943, 2.1943, 8.8216]],
  "species": ["Tl", "Tl", "Pd", "Pd", "Pd", "Pd", "Cl", "Cl"],
  "frac_coords": [[0.0000, 0.0000, 0.0000], [0.7500, 0.2500, 0.5000], [0.5942, 0.1250, 0.2500], [0.1558, 0.6250, 0.2500], [0.3750, 0.4058, 0.7500], [0.8750, 0.8442, 0.7500], [0.5000, 0.5000, 0.0000], [0.2500, 0.7500, 0.5000]]
}



Entry 7:
{
  "formula": "MnCdTe2",
  "functional": "PBE",
  "state": "relaxed",
  "formation_energy_uncorrected_kj_per_mol_atoms": 14,
  "dos_at_fermi_per_ev_cell": 2.38,
  "spacegroup": "P4/mmm",
  "total_energy_ev_per_atom": -3.95,
  "cell": [[-2.4752, 2.2229, -1.2228], [0.2020, -1.5302, -3.1907], [-5.5696, -5.0607, 2.0743]],
  "species": ["Cd", "Mn", "Te", "Te"],
  "frac_coords": [[0.5000, 0.5000, 0.2500], [0.5000, 0.5000, 0.7500], [0.0000, 0.0000, 0.9579], [0.0000, 0.0000, 0.5421]]
}



Entry 8:
{
  "formula": "SnAuI4",
  "functional": "PBE",
  "state": "relaxed",
  "formation_energy_uncorrected_kj_per_mol_atoms": -18,
  "dos_at_fermi_per_ev_cell": 8.08,
  "spacegroup": "P-42c",
  "total_energy_ev_per_atom": -2.43,
  "cell": [[6.4797, 0.0000, 0.0000], [0.0000, 6.4797, 0.0000], [0.0000, 0.0000, 12.7671]],
  "species": ["Sn", "Sn", "Au", "Au", "I", "I", "I", "I", "I", "I", "I", "I"],
  "frac_coords": [[0.0000, 0.0000, 0.0000], [0.0000, 0.0000, 0.5000], [0.0000, 0.5000, 0.2500], [0.5000, 0.0000, 0.7500], [0.2586, 0.2680, 0.8710], [0.7414, 0.7320, 0.8710], [0.2680, 0.2586, 0.3710], [0.2586, 0.7320, 0.6290], [0.7414, 0.2680, 0.6290], [0.2680, 0.7414, 0.1290], [0.7320, 0.2586, 0.1290], [0.7320, 0.7414, 0.3710]]
}